# CuP2WO

An optimized crystal structure of CuP2WO (PBE+U, Alexandria via LeMat-Bulk).

a b c (Å): 4.633 4.633 3.551
angles (deg): 90.00 90.00 90.00
Each line ends with the local moment (μB).
Fractional positions:
O1 0.000 0.000 0.500  0.08
P1 0.000 0.500 0.000  -0.14
P2 0.500 0.000 0.000  -0.14
Cu1 0.000 0.000 0.000  0.00
W1 0.500 0.500 0.500  2.67

Electronic total energy (eV/atom): -4.75
Space group: No. 123
Total moment (μB per formula unit): 2.64
Density of states at the Fermi level (states/eV per atom): 0.639
Energy above the most stable polymorph in this dataset (meV per atom): 469